<A>
DFT (PBE) results for an optimized crystal structure of Tb7Sm3.

Values from the calculation:
- Space-group type: P6_3mc
- Density of states at the Fermi level: 35.23 states/eV per cell

a = 6.4766 Å, b = 10.8319 Å, c = 10.8319 Å
α = 120.00°, β = 90.00°, γ = 90.00°
Last column: nearest neighbours and their distance in Å.
Element x y z (fractional)
Tb1 0.0139 0.6667 0.3333  3 Tb 3.22, 3 Sm 3.31
Tb2 0.5139 0.3333 0.6667  3 Tb 3.22, 3 Sm 3.31
Tb3 0.8838 0.8801 0.7602  4 Sm 3.35-3.72, 2 Tb 3.68
Tb4 0.8838 0.8801 0.1199  4 Sm 3.35-3.72, 2 Tb 3.68
Tb5 0.8838 0.2398 0.1199  4 Sm 3.35-3.72, 2 Tb 3.68
Tb6 0.3838 0.1199 0.2398  4 Sm 3.35-3.72, 2 Tb 3.68
Tb7 0.3838 0.1199 0.8801  4 Sm 3.35-3.72, 2 Tb 3.68
Tb8 0.3838 0.7602 0.8801  4 Sm 3.35-3.72, 2 Tb 3.68
Tb9 0.2157 0.4704 0.9408  3 Tb 3.22-3.42, 4 Sm 3.37-3.38
Tb10 0.2157 0.4704 0.5296  3 Tb 3.22-3.42, 4 Sm 3.37-3.38
Tb11 0.2157 0.0592 0.5296  3 Tb 3.22-3.42, 4 Sm 3.37-3.38
Tb12 0.7157 0.5296 0.0592  3 Tb 3.22-3.42, 4 Sm 3.37-3.38
Tb13 0.7157 0.5296 0.4704  3 Tb 3.22-3.42, 4 Sm 3.37-3.38
Tb14 0.7157 0.9408 0.4704  3 Tb 3.22-3.42, 4 Sm 3.37-3.38
Sm1 0.8652 0.2053 0.4107  8 Tb 3.31-3.51
Sm2 0.8652 0.2053 0.7947  8 Tb 3.31-3.51
Sm3 0.8652 0.5893 0.7947  8 Tb 3.31-3.51
Sm4 0.3652 0.7947 0.5893  8 Tb 3.31-3.51
Sm5 0.3652 0.7947 0.2053  8 Tb 3.31-3.51
Sm6 0.3652 0.4107 0.2053  8 Tb 3.31-3.51



<B>
DFT (PBE) results for an optimized crystal structure of Tb7Sm3.

Values from the calculation:
- Space-group type: C2/m
- Density of states at the Fermi level: 13.37 states/eV per cell

a = 5.0557 Å, b = 7.1822 Å, c = 9.4657 Å
α = 100.94°, β = 105.49°, γ = 90.00°
Last column: nearest neighbours and their distance in Å.
Element x y z (fractional)
Tb1 0.0000 0.5000 0.0000  4 Sm 3.57-3.59, 8 Tb 3.58
Tb2 0.8002 0.9002 0.6004  5 Sm 3.57-3.59, 7 Tb 3.57-3.58
Tb3 0.1998 0.0998 0.3996  5 Sm 3.57-3.59, 7 Tb 3.57-3.58
Tb4 0.5997 0.2998 0.1993  7 Tb 3.57-3.59, 5 Sm 3.58-3.59
Tb5 0.4003 0.7002 0.8007  7 Tb 3.57-3.59, 5 Sm 3.58-3.59
Tb6 0.6001 0.8005 0.2003  8 Tb 3.57-3.59, 4 Sm 3.57-3.58
Tb7 0.3999 0.1995 0.7997  8 Tb 3.57-3.59, 4 Sm 3.57-3.58
Sm1 0.0000 0.0000 0.0000  12 Tb 3.57-3.59
Sm2 0.8005 0.4000 0.6011  10 Tb 3.57-3.59, 2 Sm 3.59
Sm3 0.1995 0.6000 0.3989  10 Tb 3.57-3.59, 2 Sm 3.59



In order of decreasing stability: <B>, <A>.



<A>
DFT (PBE) results for an optimized crystal structure of TbSm3.

Values from the calculation:
- Space-group type: P2/m
- Density of states at the Fermi level: 5.43 states/eV per cell

a = 6.2463 Å, b = 3.6136 Å, c = 7.2226 Å
α = 89.98°, β = 90.01°, γ = 125.25°
Last column: nearest neighbours and their distance in Å.
Element x y z (fractional)
Tb1 0.6695 0.5494 0.1006  10 Sm 3.60-3.61, 2 Tb 3.61
Sm1 0.1695 0.5491 0.8522  8 Sm 3.59-3.63, 4 Tb 3.60-3.61
Sm2 0.6695 0.5493 0.6007  2 Tb 3.61, 10 Sm 3.61-3.62
Sm3 0.1695 0.5495 0.3492  8 Sm 3.59-3.63, 4 Tb 3.60-3.61



<B>
DFT (PBE) results for an optimized crystal structure of TbSm3.

Values from the calculation:
- Space-group type: I4/mmm
- Density of states at the Fermi level: 7.50 states/eV per cell

a = 4.6176 Å, b = 4.6176 Å, c = 7.3023 Å
α = 108.43°, β = 108.43°, γ = 90.00°
Last column: nearest neighbours and their distance in Å.
Element x y z (fractional)
Tb1 0.0000 0.0000 0.0000  6 Sm 3.27-3.30
Sm1 0.5000 0.5000 0.0000  2 Sm 3.23, 4 Tb 3.27
Sm2 0.2526 0.2526 0.5052  5 Sm 3.23-3.27, 1 Tb 3.30
Sm3 0.7474 0.7474 0.4948  5 Sm 3.23-3.27, 1 Tb 3.30



<C>
DFT (PBE) results for an optimized crystal structure of TbSm3.

Values from the calculation:
- Space-group type: P6_3/mmc
- Density of states at the Fermi level: 14.20 states/eV per cell

a = 7.3257 Å, b = 7.3257 Å, c = 5.7953 Å
α = 90.00°, β = 90.00°, γ = 120.00°
Last column: nearest neighbours and their distance in Å.
Element x y z (fractional)
Tb1 0.3333 0.6667 0.7500  12 Sm 3.59-3.66
Tb2 0.6667 0.3333 0.2500  12 Sm 3.59-3.66
Sm1 0.1669 0.3338 0.2500  4 Tb 3.59-3.66, 8 Sm 3.59-3.67
Sm2 0.6662 0.8331 0.2500  4 Tb 3.59-3.66, 8 Sm 3.59-3.67
Sm3 0.1669 0.8331 0.2500  4 Tb 3.59-3.66, 8 Sm 3.59-3.67
Sm4 0.8331 0.6662 0.7500  4 Tb 3.59-3.66, 8 Sm 3.59-3.67
Sm5 0.3338 0.1669 0.7500  4 Tb 3.59-3.66, 8 Sm 3.59-3.67
Sm6 0.8331 0.1669 0.7500  4 Tb 3.59-3.66, 8 Sm 3.59-3.67



<D>
DFT (PBE) results for an optimized crystal structure of TbSm3.

Values from the calculation:
- Space-group type: Fm-3m
- Density of states at the Fermi level: 10.52 states/eV per cell

a = 5.7472 Å, b = 5.7472 Å, c = 5.7472 Å
α = 60.00°, β = 60.00°, γ = 60.00°
Last column: nearest neighbours and their distance in Å.
Element x y z (fractional)
Tb1 0.5000 0.5000 0.5000  8 Sm 3.52
Sm1 0.0000 0.0000 0.0000  8 Sm 3.52
Sm2 0.7500 0.7500 0.7500  4 Tb 3.52, 4 Sm 3.52
Sm3 0.2500 0.2500 0.2500  4 Sm 3.52, 4 Tb 3.52



In order of decreasing stability: <A>, <C>, <D>, <B>.



<A>
DFT (PBE) results for an optimized crystal structure of TbSm3.

Values from the calculation:
- Space-group type: Imm2
- Density of states at the Fermi level: 7.05 states/eV per cell

a = 3.6584 Å, b = 6.3282 Å, c = 6.8672 Å
α = 117.44°, β = 105.45°, γ = 90.00°
Last column: nearest neighbours and their distance in Å.
Element x y z (fractional)
Tb1 0.0000 0.0015 0.0000  10 Sm 3.59-3.66, 2 Tb 3.66
Sm1 0.2510 0.5834 0.5020  9 Sm 3.58-3.66, 3 Tb 3.59
Sm2 0.5000 0.5004 0.0000  8 Sm 3.58-3.66, 4 Tb 3.65-3.66
Sm3 0.7490 0.0814 0.4980  9 Sm 3.58-3.66, 3 Tb 3.59



<B>
DFT (PBE) results for an optimized crystal structure of TbSm3.

Values from the calculation:
- Space-group type: Pm-3m
- Density of states at the Fermi level: 6.51 states/eV per cell

a = 5.1042 Å, b = 5.1042 Å, c = 5.1042 Å
α = 90.00°, β = 90.00°, γ = 90.00°
Last column: nearest neighbours and their distance in Å.
Element x y z (fractional)
Tb1 0.0000 0.0000 0.0000  12 Sm 3.61
Sm1 0.0000 0.5000 0.5000  8 Sm 3.61, 4 Tb 3.61
Sm2 0.5000 0.0000 0.5000  4 Tb 3.61, 8 Sm 3.61
Sm3 0.5000 0.5000 0.0000  4 Tb 3.61, 8 Sm 3.61



In order of decreasing stability: <B>, <A>.



<A>
DFT (PBE) results for an optimized crystal structure of Tb5Sm4.

Values from the calculation:
- Space-group type: Immm
- Density of states at the Fermi level: 11.28 states/eV per cell

a = 3.6608 Å, b = 9.1779 Å, c = 9.1779 Å
α = 92.05°, β = 78.52°, γ = 78.52°
Last column: nearest neighbours and their distance in Å.
Element x y z (fractional)
Tb1 0.0000 0.0411 0.9589  7 Tb 3.32-3.66, 4 Sm 3.52
Tb2 0.0000 0.2922 0.7078  7 Tb 3.32-3.66, 4 Sm 3.52
Tb3 0.0000 0.6667 0.3333  8 Sm 3.56, 4 Tb 3.59-3.66
Tb4 0.2942 0.3725 0.0392  7 Tb 3.52-3.66, 4 Sm 3.60
Tb5 0.7058 0.9608 0.6275  7 Tb 3.52-3.66, 4 Sm 3.60
Sm1 0.3570 0.6208 0.6657  5 Sm 3.50-3.66, 6 Tb 3.52-3.60
Sm2 0.3570 0.9990 0.2874  5 Sm 3.50-3.66, 6 Tb 3.52-3.60
Sm3 0.6430 0.7126 0.0010  5 Sm 3.50-3.66, 6 Tb 3.52-3.60
Sm4 0.6430 0.3343 0.3792  5 Sm 3.50-3.66, 6 Tb 3.52-3.60



<B>
DFT (PBE) results for an optimized crystal structure of Tb5Sm4.

Values from the calculation:
- Space-group type: C2/m
- Density of states at the Fermi level: 12.90 states/eV per cell

a = 5.0712 Å, b = 8.0313 Å, c = 8.0313 Å
α = 84.21°, β = 71.53°, γ = 71.53°
Last column: nearest neighbours and their distance in Å.
Element x y z (fractional)
Tb1 0.0000 0.0006 0.9994  6 Tb 3.58-3.60, 6 Sm 3.59
Tb2 0.0000 0.3327 0.6673  6 Tb 3.58-3.60, 6 Sm 3.59
Tb3 0.0000 0.6667 0.3333  8 Sm 3.59, 4 Tb 3.60
Tb4 0.3341 0.3326 0.9993  6 Tb 3.58-3.60, 6 Sm 3.59-3.60
Tb5 0.6659 0.0007 0.6674  6 Tb 3.58-3.60, 6 Sm 3.59-3.60
Sm1 0.3333 0.6666 0.6666  4 Sm 3.59, 8 Tb 3.59-3.60
Sm2 0.3333 0.0000 0.3332  4 Sm 3.59, 8 Tb 3.59-3.60
Sm3 0.6667 0.6668 0.0000  4 Sm 3.59, 8 Tb 3.59-3.60
Sm4 0.6667 0.3334 0.3334  4 Sm 3.59, 8 Tb 3.59-3.60



In order of decreasing stability: <B>, <A>.